1.
# Cu12AgAu6

A relaxed Cu12AgAu6 crystal (PBE-GGA, Alexandria).

Structure (CIF):
```
data_Cu12AgAu6
_chemical_formula_sum 'Cu36 Ag3 Au18'
_symmetry_space_group_name_H-M 'R -3 m'
_symmetry_Int_Tables_number 166
_symmetry_space_group_name_Hall '-R 3 2"'
_cell_length_a 11.3011
_cell_length_b 11.3011
_cell_length_c 8.2606
_cell_angle_alpha 90.00
_cell_angle_beta 90.00
_cell_angle_gamma 120.00
loop_
_atom_site_label
_atom_site_type_symbol
_atom_site_fract_x
_atom_site_fract_y
_atom_site_fract_z
Cu1 Cu 0.0000 0.3922 0.0000
Cu2 Cu 0.0781 0.1562 0.7622
Ag1 Ag 0.0000 0.0000 0.5000
Au1 Au 0.0670 0.5335 0.7329
```

## Properties
Density of states at the Fermi level, states/eV per atom: 0.28
Volume, Å³ per cell: 913.7
Energy above the most stable polymorph in this dataset, eV per atom: 0.009

=====

2.
# Mg2ZnCu

A relaxed Mg2ZnCu crystal (PBE-GGA, Alexandria).

Structure (CIF):
```
data_Mg2ZnCu
_chemical_formula_sum 'Mg2 Zn1 Cu1'
_symmetry_space_group_name_H-M 'P m m m'
_symmetry_Int_Tables_number 47
_cell_length_a 3.141
_cell_length_b 3.178
_cell_length_c 6.705
_cell_angle_alpha 90.00
_cell_angle_beta 90.00
_cell_angle_gamma 90.00
loop_
_symmetry_equiv_pos_as_xyz
'x,y,z'
'-x,-y,-z'
'-x,-y,z'
'x,y,-z'
'x,-y,-z'
'-x,y,z'
'-x,y,-z'
'x,-y,z'
loop_
_atom_site_label
_atom_site_type_symbol
_atom_site_fract_x
_atom_site_fract_y
_atom_site_fract_z
Mg1 Mg 0.000 0.000 0.233
Zn1 Zn 0.500 0.500 0.500
Cu1 Cu 0.500 0.500 0.000
```

## Properties
Density of states at the Fermi level, states/eV per atom: 0.23
Final energy, eV/atom: -2.2368
Volume, Å³ per cell: 66.9

=====

3.
# Y3ZrOs

A relaxed Y3ZrOs crystal (PBE-GGA, Alexandria).

Structure (CIF):
```
data_Y3ZrOs
_chemical_formula_sum 'Y3 Zr1 Os1'
_symmetry_space_group_name_H-M 'P m -3 m'
_symmetry_Int_Tables_number 221
_symmetry_space_group_name_Hall '-P 4 2 3'
_cell_length_a 5.364
_cell_length_b 5.364
_cell_length_c 5.364
_cell_angle_alpha 90.00
_cell_angle_beta 90.00
_cell_angle_gamma 90.00
loop_
_atom_site_label
_atom_site_type_symbol
_atom_site_fract_x
_atom_site_fract_y
_atom_site_fract_z
Y1 Y 0.000 0.000 0.500
Zr1 Zr 0.500 0.500 0.500
Os1 Os 0.000 0.000 0.000
```

## Properties
Density of states at the Fermi level, states/eV per atom: 0.96
Volume, Å³ per cell: 154.3
Energy above the most stable polymorph in this dataset, eV per atom: 0.000

=====

4.
# LaCr2Se

A relaxed LaCr2Se crystal (PBE-GGA, Alexandria).

Structure (CIF):
```
data_LaCr2Se
_chemical_formula_sum 'La2 Cr4 Se2'
_symmetry_space_group_name_H-M 'C 1 2/m 1'
_symmetry_Int_Tables_number 12
_cell_length_a 8.979
_cell_length_b 3.415
_cell_length_c 5.192
_cell_angle_alpha 90.00
_cell_angle_beta 102.86
_cell_angle_gamma 90.00
loop_
_symmetry_equiv_pos_as_xyz
'x,y,z'
'-x,-y,-z'
'-x,y,-z'
'x,-y,z'
'x+1/2,y+1/2,z'
'-x+1/2,-y+1/2,-z'
'-x+1/2,y+1/2,-z'
'x+1/2,-y+1/2,z'
loop_
_atom_site_label
_atom_site_type_symbol
_atom_site_fract_x
_atom_site_fract_y
_atom_site_fract_z
La1 La 0.000 0.000 0.000
Cr1 Cr 0.231 0.000 0.625
Se1 Se 0.000 0.500 0.500
```

## Properties
Density of states at the Fermi level, states/eV per atom: 1.02
Volume, Å³ per cell: 155.2
E_form (uncorrected), eV/atom: 0.107

=====

Question: Which of these has the lowest volume?
Answer: Mg2ZnCu